VASP calculation (PBE with a Hubbard U) on crystalline TiNbCrO6 at its relaxed geometry.

The magnetization is 6.0 μB per cell. For the final energy, the calculation gives -0.6369 Ry/atom. Its relative energy among the computed polymorphs is 0 meV/atom. For the density, the calculation gives 4.76 Mg/m³.

The space group is P4_2nm (No. 102) and the conventional cell measures 4.706, 4.706 and 9.088 Å, with angles of 90.00, 90.00 and 90.00 degrees. The distinct sites, in fractional coordinates, are Ti at (0.000, 0.000, 0.000), Nb at (0.000, 0.000, 0.664), Cr at (0.000, 0.000, 0.331), O at (0.194, 0.194, 0.161), O at (0.194, 0.194, 0.833) and O at (0.199, 0.199, 0.500).